VASP calculation (PBE+U) on a relaxed structure of FeBrOF2.

Values from the calculation:
Total energy = -21.117 eV per cell
Magnetic moment = 5.1 Bohr magnetons per cell
Energy above the most stable polymorph in this dataset = 0.0000 eV per atom

a b c (Å): 3.8775 3.8775 4.4401
angles (deg): 90.00 90.00 90.00
Space group P4/mmm (No. 123)
Unique sites:
Fe: 0.0000 0.0000 0.0000
Br: 0.5000 0.5000 0.5000
O: 0.0000 0.0000 0.5000
F: 0.0000 0.5000 0.0000